# TbPm2Si PBE relaxed
# - formation energy without anion corrections (meV/atom) = -207.8
# - DFT total energy (eV/atom) = -5.0965
data_TbPm2Si
_chemical_formula_sum 'Tb2 Pm4 Si2'
_cell_length_a 4.686
_cell_length_b 6.509
_cell_length_c 7.230
_cell_angle_alpha 90.00
_cell_angle_beta 90.00
_cell_angle_gamma 90.00
_symmetry_space_group_name_H-M 'P m m n'
_symmetry_Int_Tables_number 59
loop_
_symmetry_equiv_pos_as_xyz
'x,y,z'
'-x,-y,-z'
'-x+1/2,-y+1/2,z'
'x+1/2,y+1/2,-z'
'x+1/2,-y,-z'
'-x+1/2,y,z'
'-x,y+1/2,-z'
'x,-y+1/2,z'
loop_
_atom_site_label
_atom_site_type_symbol
_atom_site_fract_x
_atom_site_fract_y
_atom_site_fract_z
Tb1 Tb 0.250 0.250 0.090
Pm1 Pm 0.250 0.019 0.653
Si1 Si 0.250 0.750 0.163



# Y4Zn5Ge6 PBE relaxed
# - DFT total energy (eV/atom) = -4.5554
# - DFT formation energy (meV per atom) = -560
data_Y4Zn5Ge6
_chemical_formula_sum 'Y16 Zn20 Ge24'
_cell_length_a 4.256
_cell_length_b 18.626
_cell_length_c 15.330
_cell_angle_alpha 90.00
_cell_angle_beta 90.00
_cell_angle_gamma 90.00
_symmetry_space_group_name_H-M 'C m c 21'
_symmetry_Int_Tables_number 36
loop_
_symmetry_equiv_pos_as_xyz
'x,y,z'
'-x,-y,z+1/2'
'-x,y,z'
'x,-y,z+1/2'
'x+1/2,y+1/2,z'
'-x+1/2,-y+1/2,z+1/2'
'-x+1/2,y+1/2,z'
'x+1/2,-y+1/2,z+1/2'
loop_
_atom_site_label
_atom_site_type_symbol
_atom_site_fract_x
_atom_site_fract_y
_atom_site_fract_z
Y1 Y 0.000 0.020 0.000
Y2 Y 0.000 0.033 0.736
Y3 Y 0.000 0.168 0.197
Y4 Y 0.000 0.176 0.555
Zn1 Zn 0.000 0.151 0.873
Zn2 Zn 0.000 0.301 0.875
Zn3 Zn 0.000 0.345 0.224
Zn4 Zn 0.000 0.350 0.518
Zn5 Zn 0.000 0.434 0.814
Ge1 Ge 0.000 0.113 0.382
Ge2 Ge 0.000 0.222 0.013
Ge3 Ge 0.000 0.227 0.735
Ge4 Ge 0.000 0.431 0.091
Ge5 Ge 0.000 0.432 0.369
Ge6 Ge 0.000 0.440 0.645